No. 1
ZnCd2Ir at its PBEsol-relaxed geometry, computed with SCAN.

The space group is Amm2 (No. 38) and the conventional cell measures 4.2837, 3.0177 and 10.4691 Å, with angles of 90.00, 90.00 and 90.00 degrees. The asymmetric unit holds Zn at (0.0000, 0.0000, 0.0000), Cd at (0.0000, 0.0000, 0.7282), Cd at (0.5000, 0.0000, 0.3916) and Ir at (0.5000, 0.0000, 0.1242).

The formation energy is 36 meV/atom. Its density of states at the Fermi level is 2.58 states/eV/cell. The electronic total energy is -290.6 eV per cell.

***

No. 2
DyMoClO4 at its PBEsol-relaxed geometry, computed with SCAN.

The space group is C2/m (No. 12) and the conventional cell measures 10.1521, 7.2115 and 6.7711 Å, with angles of 90.00, 107.39 and 90.00 degrees. The asymmetric unit holds Dy at (0.2220, 0.0000, 0.1086), Mo at (0.1380, 0.5000, 0.2680), Cl at (0.0081, 0.0000, 0.7631), O at (0.0423, 0.5000, 0.8002), O at (0.2008, 0.3099, 0.1532) and O at (0.2056, 0.5000, 0.5357).

Its density of states at the Fermi level is 0.00 states/eV/cell. The electronic total energy is -539.0 eV per cell. The formation energy (no corrections) is -2.74 eV per atom.

***

No. 3
CoPOs3 at its PBEsol-relaxed geometry, computed with SCAN.

The space group is Pm-3m (No. 221) and the conventional cell measures 4.3481, 4.3481 and 4.3481 Å, with angles of 90.00, 90.00 and 90.00 degrees. The asymmetric unit holds Co at (0.0000, 0.0000, 0.0000), P at (0.5000, 0.5000, 0.5000) and Os at (0.0000, 0.0000, 0.5000).

The formation energy is 2250 meV/atom. Its density of states at the Fermi level is 5.97 states/eV/cell. The electronic total energy is -232.1 eV per cell.

***

No. 4
Li3AlSn at its PBEsol-relaxed geometry, computed with SCAN.

The space group is Pm-3m (No. 221) and the conventional cell measures 5.0481, 5.0481 and 5.0481 Å, with angles of 90.00, 90.00 and 90.00 degrees. The asymmetric unit holds Li at (0.0000, 0.0000, 0.5000), Al at (0.5000, 0.5000, 0.5000) and Sn at (0.0000, 0.0000, 0.0000).

The formation energy is 280 meV/atom. Its density of states at the Fermi level is 2.47 states/eV/cell. The electronic total energy is -49.4 eV per cell.